[1]
DFT (GGA-PBE) results for a relaxed InFe2W2 crystal.

Cell: 7.261 7.261 2.817 Å, 90.00 90.00 90.00°
Atoms (fractional coordinates):
1 Fe 0.371 0.871 0.000
2 Fe 0.871 0.629 0.000
3 Fe 0.629 0.129 0.000
4 Fe 0.129 0.371 0.000
5 W 0.158 0.658 0.500
6 W 0.658 0.842 0.500
7 W 0.842 0.342 0.500
8 W 0.342 0.158 0.500
9 In 0.000 0.000 0.000
10 In 0.500 0.500 0.000

Summary:
formation enthalpy at 0 K: 1.48 eV/f.u.
magnetization: 0.00 μB per formula unit



[2]
DFT (GGA-PBE) results for a relaxed KBe2 crystal.

Cell: 6.275 6.275 6.275 Å, 156.23 145.87 42.02°
Atoms (fractional coordinates):
1 Be 0.260 0.260 0.000
2 Be 0.740 0.740 0.000
3 K 0.000 0.000 0.000

Summary:
formation enthalpy at 0 K: 2.08 eV/f.u.
excess energy over the best structure of this formula in the dataset: 76 kJ/mol of formula units
magnetization: 0.00 μB per formula unit



[3]
DFT (GGA-PBE) results for a relaxed RbPmAs2 crystal.

Cell: 4.023 4.023 7.399 Å, 90.00 90.00 90.00°
Atoms (fractional coordinates):
1 As 0.000 0.000 0.830
2 As 0.000 0.000 0.170
3 Rb 0.500 0.500 0.500
4 Pm 0.500 0.500 0.000

Summary:
formation enthalpy at 0 K: -3.26 eV/f.u.
excess energy over the best structure of this formula in the dataset: 0 kJ/mol of formula units
magnetization: 0.00 μB per formula unit



[4]
DFT (GGA-PBE) results for a relaxed K2Cu2PbCl6 crystal.

Cell: 7.549 7.405 7.730 Å, 115.35 90.00 120.64°
Atoms (fractional coordinates):
1 K 0.729 0.457 0.192
2 K 0.271 0.543 0.808
3 Cu 0.958 0.916 0.798
4 Cu 0.042 0.084 0.202
5 Pb 0.500 0.000 0.500
6 Cl 0.755 0.510 0.620
7 Cl 0.181 0.870 0.178
8 Cl 0.311 0.130 0.822
9 Cl 0.819 0.130 0.822
10 Cl 0.689 0.870 0.178
11 Cl 0.245 0.490 0.380

Summary:
formation energy from raw total energies: -1.17 eV/atom
magnetization: 0.15 μB per formula unit



[5]
DFT (GGA-PBE) results for a relaxed LaTl2Ni crystal.

Cell: 4.556 4.556 6.229 Å, 68.54 68.54 60.02°
Atoms (fractional coordinates):
1 La 0.250 0.250 0.250
2 Ni 0.750 0.750 0.750
3 Tl 0.031 0.031 0.908
4 Tl 0.469 0.469 0.592

Summary:
formation enthalpy at 0 K: -0.51 eV/f.u.
magnetization: 0.00 μB per formula unit



[6]
DFT (GGA-PBE) results for a relaxed Nd2ErSc crystal.

Cell: 6.732 7.112 7.112 Å, 119.66 105.54 105.54°
Atoms (fractional coordinates):
1 Nd 0.763 0.472 0.056
2 Nd 0.737 0.944 0.528
3 Nd 0.237 0.528 0.944
4 Nd 0.263 0.056 0.472
5 Er 0.750 0.960 0.040
6 Er 0.250 0.040 0.960
7 Sc 0.750 0.459 0.541
8 Sc 0.250 0.541 0.459

Summary:
formation enthalpy at 0 K: 0.21 eV/f.u.
excess energy over the best structure of this formula in the dataset: 5 kJ/mol of formula units
magnetization: 0.00 μB per formula unit



- Among the records above, which one has the highest magnetization?
  K2Cu2PbCl6